[1]
Compound: Rb3TlNi2Br8
Source: the Alexandria database
Functional: PBE-GGA
Structure: relaxed

## Properties
E_form (uncorrected): -0.948 eV per atom
Density of states at the Fermi level: 4.9 states/eV per cell
Magnetization: 4.01 Bohr magnetons per cell

POSCAR file:
```
Rb3TlNi2Br8
1.0
-0.1550 -1.1290 7.8231
-0.7492 -6.1599 -4.8984
9.8347 -1.2121 0.0200
Rb Tl Br Ni
3 1 8 2
direct
0.6667 0.3333 0.3891 Rb
0.0000 0.0000 0.0000 Rb
0.3333 0.6667 0.6109 Rb
0.0000 0.0000 0.5000 Tl
0.6443 0.8222 0.2985 Br
0.8222 0.6443 0.7015 Br
0.3557 0.1778 0.7015 Br
0.6667 0.3333 0.0492 Br
0.3333 0.6667 0.9508 Br
0.1778 0.3557 0.2985 Br
0.1778 0.8222 0.2985 Br
0.8222 0.1778 0.7015 Br
0.3333 0.6667 0.1846 Ni
0.6667 0.3333 0.8154 Ni
```

---

[2]
Compound: RbTmNiBr6
Source: the Alexandria database
Functional: PBE-GGA
Structure: relaxed

## Properties
E_form (uncorrected): -1.318 eV per atom
Magnetization: 2.04 Bohr magnetons per cell

POSCAR file:
```
RbTmNiBr6
1.0
-5.0704 0.5758 4.7301
-1.0892 -5.1287 4.5746
4.9871 3.3466 4.9386
Br Rb Ni Tm
6 1 1 1
direct
0.0202 0.3609 0.3033 Br
0.0202 0.6189 0.6968 Br
0.6188 0.3610 0.6967 Br
0.3610 0.6189 0.3032 Br
0.6188 0.0202 0.3032 Br
0.3608 0.0202 0.6967 Br
0.0000 0.0000 0.0000 Rb
0.3333 0.3333 0.5000 Ni
0.6666 0.6667 0.5000 Tm
```

---

[3]
Compound: RbY2NiBr
Source: the Alexandria database
Functional: PBE-GGA
Structure: relaxed

## Properties
E_form (uncorrected): 0.407 eV per atom
Density of states at the Fermi level: 6.6 states/eV per cell
Magnetization: 0.32 Bohr magnetons per cell

POSCAR file:
```
RbY2NiBr
1.0
5.6084 0.0000 0.0000
0.0000 4.7244 0.0000
0.0000 0.0000 5.6084
Ni Br Y Rb
1 1 2 1
direct
0.0000 0.5000 0.0000 Ni
0.0000 0.0000 0.0000 Br
0.5000 0.0000 0.0000 Y
0.0000 0.0000 0.5000 Y
0.5000 0.5000 0.5000 Rb
```

---

[4]
Compound: RbYNiBr6
Source: the Alexandria database
Functional: PBE-GGA
Structure: relaxed

## Properties
E_form (uncorrected): -1.322 eV per atom
Magnetization: 2.05 Bohr magnetons per cell

POSCAR file:
```
RbYNiBr6
1.0
7.0204 -0.0002 0.0000
3.5101 6.0799 0.0000
0.0003 -0.0005 7.7495
Rb Br Ni Y
1 6 1 1
direct
0.0000 0.0000 0.0000 Rb
0.6169 0.0241 0.3015 Br
0.6169 0.3590 0.6984 Br
0.0241 0.6169 0.6985 Br
0.3588 0.0242 0.6984 Br
0.3589 0.6169 0.3016 Br
0.0242 0.3588 0.3016 Br
0.3333 0.3334 0.5000 Ni
0.6667 0.6667 0.5000 Y
```

---

[5]
Compound: RbYNi2Br
Source: the Alexandria database
Functional: PBE-GGA
Structure: relaxed

## Properties
E_form (uncorrected): 1.073 eV per atom
Density of states at the Fermi level: 7.1 states/eV per cell
Magnetization: 0.00 Bohr magnetons per cell

POSCAR file:
```
RbYNi2Br
1.0
-4.5842 -1.3336 0.2577
1.4967 -4.5219 3.2236
-0.5448 2.6364 3.9512
Rb Ni Br Y
1 2 1 1
direct
0.0000 0.0000 0.0000 Rb
0.0000 0.0000 0.5000 Ni
0.5000 0.0000 0.0000 Ni
0.0000 0.5000 0.0000 Br
0.5000 0.5000 0.5000 Y
```

---

[6]
Compound: Rb2ZnNiBr6
Source: the Alexandria database
Functional: PBE-GGA
Structure: relaxed

## Properties
E_form (uncorrected): -0.985 eV per atom
Density of states at the Fermi level: 0.0 states/eV per cell
Magnetization: 0.00 Bohr magnetons per cell

POSCAR file:
```
Rb2ZnNiBr6
1.0
7.5975 0.0000 0.0000
0.0000 7.5975 0.0000
3.7988 3.7988 5.4604
Ni Br Rb Zn
1 6 2 1
direct
0.5000 0.5000 0.0000 Ni
0.7208 0.7208 0.0000 Br
0.2792 0.2792 0.0000 Br
0.7208 0.2792 0.0000 Br
0.7865 0.7865 0.4270 Br
0.2792 0.7208 0.0000 Br
0.2135 0.2135 0.5730 Br
0.7500 0.2500 0.5000 Rb
0.2500 0.7500 0.5000 Rb
0.0000 0.0000 0.0000 Zn
```

---

[7]
Compound: ReNiBr
Source: the Alexandria database
Functional: PBE-GGA
Structure: relaxed

## Properties
E_form (uncorrected): 0.785 eV per atom
Density of states at the Fermi level: 1.5 states/eV per cell
Magnetization: 0.00 Bohr magnetons per cell

POSCAR file:
```
ReNiBr
1.0
6.6706 0.0632 0.0000
5.3441 3.9927 0.0000
-6.0073 -2.0280 2.0736
Re Br Ni
1 1 1
direct
0.6783 0.6783 0.0000 Re
0.0325 0.0325 0.0000 Br
0.2892 0.2892 0.0000 Ni
```

---

[8]
Compound: ReNiBr
Source: the Alexandria database
Functional: PBE-GGA
Structure: relaxed

## Properties
E_form (uncorrected): 1.128 eV per atom
Density of states at the Fermi level: 1.2 states/eV per cell
Magnetization: 0.00 Bohr magnetons per cell

POSCAR file:
```
ReNiBr
1.0
4.1768 0.0000 0.0000
2.0884 3.6172 0.0000
2.0884 1.2057 3.4104
Re Ni Br
1 1 1
direct
0.7500 0.7500 0.7500 Re
0.5000 0.5000 0.5000 Ni
0.0000 0.0000 0.0000 Br
```

---

[9]
Compound: ReNiBr
Source: the Alexandria database
Functional: PBE-GGA
Structure: relaxed

## Properties
E_form (uncorrected): 0.708 eV per atom
Density of states at the Fermi level: 2.2 states/eV per cell
Magnetization: 0.00 Bohr magnetons per cell

POSCAR file:
```
ReNiBr
1.0
-0.0566 2.5548 1.5355
-2.5472 -1.4089 -0.6439
0.4084 -3.1099 5.1895
Ni Re Br
1 1 1
direct
0.6667 0.3333 0.3481 Ni
0.3333 0.6667 0.6509 Re
0.0000 0.0000 0.0009 Br
```

---

[10]
Compound: ReNi4Br
Source: the Alexandria database
Functional: PBE-GGA
Structure: relaxed

## Properties
E_form (uncorrected): 0.732 eV per atom
Density of states at the Fermi level: 8.5 states/eV per cell
Magnetization: 0.35 Bohr magnetons per cell

POSCAR file:
```
ReNi4Br
1.0
1.3273 -4.6102 0.0442
-3.1167 -3.3806 1.3694
-1.8078 -3.0479 -3.2342
Br Re Ni
1 1 4
direct
0.0000 0.0000 0.0000 Br
0.2500 0.2500 0.2500 Re
0.1272 0.6243 0.6243 Ni
0.6243 0.6243 0.6243 Ni
0.6243 0.1272 0.6243 Ni
0.6243 0.6243 0.1272 Ni
```

---

[11]
Compound: ReNi3Br
Source: the Alexandria database
Functional: PBE-GGA
Structure: relaxed

## Properties
E_form (uncorrected): 1.499 eV per atom
Density of states at the Fermi level: 3.3 states/eV per cell
Magnetization: 3.76 Bohr magnetons per cell

POSCAR file:
```
ReNi3Br
1.0
4.3116 0.0000 0.0000
0.0000 4.3116 0.0000
0.0000 0.0000 4.3116
Ni Re Br
3 1 1
direct
0.0000 0.0000 0.5000 Ni
0.5000 0.0000 0.0000 Ni
0.0000 0.5000 0.0000 Ni
0.5000 0.5000 0.5000 Re
0.0000 0.0000 0.0000 Br
```

---

[12]
Compound: ReNi2Br4
Source: the Alexandria database
Functional: PBE-GGA
Structure: relaxed

## Properties
E_form (uncorrected): 0.576 eV per atom
Density of states at the Fermi level: 10.0 states/eV per cell
Magnetization: 5.03 Bohr magnetons per cell

POSCAR file:
```
ReNi2Br4
1.0
5.3178 0.0000 0.0000
0.0000 5.3178 0.0000
2.6589 2.6589 5.9703
Br Ni Re
4 2 1
direct
0.0000 0.5000 0.0000 Br
0.7899 0.7899 0.4202 Br
0.2101 0.2101 0.5798 Br
0.5000 0.0000 0.0000 Br
0.5943 0.5943 0.8114 Ni
0.4057 0.4057 0.1886 Ni
0.0000 0.0000 0.0000 Re
```